[1]
First-principles (PBE) data for a geometry-optimized AcEuZnCd structure, as listed in Alexandria.

Cell lengths 5.5646, 5.5646, 5.5646 Å; angles 60.00, 60.00, 60.00 degrees
Element x y z (fractional)
Ac (0.0000, 0.0000, 0.0000)
Eu (0.5000, 0.5000, 0.5000)
Zn (0.2500, 0.2500, 0.2500)
Cd (0.7500, 0.7500, 0.7500)

Computed properties:
As for the space group: No. 216. As for the energy of formation: -0.290 eV per atom.

***

[2]
First-principles (PBE) data for a geometry-optimized Ac2CdF8 structure, as listed in Alexandria.

Cell lengths 7.0737, 7.0737, 7.6655 Å; angles 103.65, 103.65, 34.95 degrees
Element x y z (fractional)
Ac (0.2308, 0.2308, 0.2394)
Ac (0.7692, 0.7692, 0.7606)
Cd (0.0000, 0.0000, 0.5000)
F (0.0560, 0.0560, 0.2601)
F (0.2227, 0.2227, 0.5840)
F (0.3005, 0.3005, 0.9512)
F (0.4106, 0.4106, 0.3798)
F (0.5894, 0.5894, 0.6202)
F (0.6995, 0.6995, 0.0488)
F (0.7773, 0.7773, 0.4160)
F (0.9440, 0.9440, 0.7399)

Computed properties:
As for the space group: No. 12. For the formation energy (no corrections), the calculation gives -3575 meV/atom.

***

[3]
First-principles (PBE) data for a geometry-optimized AcCdF5 structure, as listed in Alexandria.

Cell lengths 5.0859, 5.0859, 8.6417 Å; angles 96.31, 96.31, 79.84 degrees
Element x y z (fractional)
Ac (0.0051, 0.9949, 0.7500)
Ac (0.9949, 0.0051, 0.2500)
Cd (0.5000, 0.5000, 0.0000)
Cd (0.5000, 0.5000, 0.5000)
F (0.0661, 0.7362, 0.9934)
F (0.1180, 0.4746, 0.3406)
F (0.2638, 0.9339, 0.5066)
F (0.3845, 0.6155, 0.7500)
F (0.4746, 0.1180, 0.8406)
F (0.5254, 0.8820, 0.1594)
F (0.6155, 0.3845, 0.2500)
F (0.7362, 0.0661, 0.4934)
F (0.8820, 0.5254, 0.6594)
F (0.9339, 0.2638, 0.0066)

Computed properties:
As for the space group: No. 15. For the formation energy (no corrections), the calculation gives -3250 meV/atom.

***

[4]
First-principles (PBE) data for a geometry-optimized Ac4Cd2F structure, as listed in Alexandria.

Cell lengths 9.5286, 9.5286, 9.5286 Å; angles 147.84, 147.84, 46.12 degrees
Element x y z (fractional)
Ac (0.0000, 0.5000, 0.5000)
Ac (0.1872, 0.1872, 0.0000)
Ac (0.5000, 0.0000, 0.5000)
Ac (0.8128, 0.8128, 0.0000)
Cd (0.3724, 0.3724, 0.0000)
Cd (0.6276, 0.6276, 0.0000)
F (0.0000, 0.0000, 0.0000)

Computed properties:
As for the space group: No. 139. For the formation energy (no corrections), the calculation gives -739 meV/atom.

***

[5]
First-principles (PBE) data for a geometry-optimized AcCdF3 structure, as listed in Alexandria.

Cell lengths 4.9146, 4.9146, 4.9146 Å; angles 90.00, 90.00, 90.00 degrees
Element x y z (fractional)
Ac (0.0000, 0.0000, 0.0000)
Cd (0.5000, 0.5000, 0.5000)
F (0.0000, 0.0000, 0.5000)
F (0.0000, 0.5000, 0.0000)
F (0.5000, 0.0000, 0.0000)

Computed properties:
As for the space group: No. 221. For the formation energy (no corrections), the calculation gives -3112 meV/atom.

***

[6]
First-principles (PBE) data for a geometry-optimized KAcCdF6 structure, as listed in Alexandria.

Cell lengths 6.4655, 6.4655, 9.9010 Å; angles 90.00, 90.00, 120.00 degrees
Element x y z (fractional)
K (0.0000, 0.0000, 0.0000)
K (0.0000, 0.0000, 0.5000)
Ac (0.3333, 0.6667, 0.2500)
Ac (0.6667, 0.3333, 0.7500)
Cd (0.3333, 0.6667, 0.7500)
Cd (0.6667, 0.3333, 0.2500)
F (0.0179, 0.3710, 0.6356)
F (0.0179, 0.6469, 0.8644)
F (0.3531, 0.3710, 0.8644)
F (0.3531, 0.9821, 0.6356)
F (0.3710, 0.0179, 0.1356)
F (0.3710, 0.3531, 0.3644)
F (0.6290, 0.6469, 0.6356)
F (0.6290, 0.9821, 0.8644)
F (0.6469, 0.0179, 0.3644)
F (0.6469, 0.6290, 0.1356)
F (0.9821, 0.3531, 0.1356)
F (0.9821, 0.6290, 0.3644)

Computed properties:
As for the space group: No. 163. For the formation energy (no corrections), the calculation gives -3147 meV/atom.

***

[7]
First-principles (PBE) data for a geometry-optimized Li4AcCd3F12 structure, as listed in Alexandria.

Cell lengths 7.2189, 7.2189, 7.2189 Å; angles 105.45, 105.45, 105.45 degrees
Element x y z (fractional)
Li (0.0000, 0.0000, 0.0000)
Li (0.0000, 0.4377, 0.5623)
Li (0.4377, 0.5623, 0.0000)
Li (0.5623, 0.0000, 0.4377)
Ac (0.5000, 0.5000, 0.5000)
Cd (0.0590, 0.9410, 0.5000)
Cd (0.5000, 0.0590, 0.9410)
Cd (0.9410, 0.5000, 0.0590)
F (0.0000, 0.5934, 0.4066)
F (0.0000, 0.8429, 0.1571)
F (0.1571, 0.0000, 0.8429)
F (0.1791, 0.2991, 0.5295)
F (0.2991, 0.5295, 0.1791)
F (0.4066, 0.0000, 0.5934)
F (0.4705, 0.7009, 0.8209)
F (0.5295, 0.1791, 0.2991)
F (0.5934, 0.4066, 0.0000)
F (0.7009, 0.8209, 0.4705)
F (0.8209, 0.4705, 0.7009)
F (0.8429, 0.1571, 0.0000)

Computed properties:
As for the space group: No. 155. For the formation energy (no corrections), the calculation gives -2687 meV/atom.

***

[8]
First-principles (PBE) data for a geometry-optimized LiAcCd2F8 structure, as listed in Alexandria.

Cell lengths 4.0847, 5.5831, 7.9824 Å; angles 93.62, 90.70, 91.58 degrees
Element x y z (fractional)
Li (0.0000, 0.0000, 0.0000)
Ac (0.0000, 0.0000, 0.5000)
Cd (0.4610, 0.4536, 0.2129)
Cd (0.5390, 0.5464, 0.7871)
F (0.0390, 0.3635, 0.7027)
F (0.0443, 0.1556, 0.2151)
F (0.4392, 0.7480, 0.0343)
F (0.4846, 0.7541, 0.5429)
F (0.5154, 0.2459, 0.4571)
F (0.5608, 0.2520, 0.9657)
F (0.9557, 0.8444, 0.7849)
F (0.9610, 0.6365, 0.2973)

Computed properties:
As for the space group: No. 2. For the formation energy (no corrections), the calculation gives -2921 meV/atom.